(1)
Below is a relaxed structure of Ta5Pd2, with properties calculated at the GGA-PBE level.

Output
SG: No. 139
DFT total energy, eV per atom: -10.171
Size of the total moment, μB/f.u.: 0.0
Formation energy from the elements, eV per atom: -0.22

POSCAR file:
```
Ta5Pd2
1.0
-1.651 1.651 11.168
1.651 -1.651 11.168
1.651 1.651 -11.168
Ta Pd
5 2
direct
0.000 0.000 0.000
0.150 0.150 0.000
0.426 0.426 0.000
0.574 0.574 0.000
0.850 0.850 0.000
0.287 0.287 0.000
0.713 0.713 0.000
```


(2)
Below is a relaxed structure of TaPd3, with properties calculated at the GGA-PBE level.

Output
SG: No. 194
DFT total energy, eV per atom: -7.301
Size of the total moment, μB/f.u.: 0.0
Formation energy from the elements, eV per atom: -0.44

POSCAR file:
```
TaPd3
1.0
5.561 0.000 0.000
-2.780 4.816 0.000
0.000 0.000 4.669
Ta Pd
2 6
direct
0.333 0.667 0.250
0.667 0.333 0.750
0.168 0.337 0.750
0.168 0.832 0.750
0.337 0.168 0.250
0.663 0.832 0.750
0.832 0.168 0.250
0.832 0.663 0.250
```


(3)
Below is a relaxed structure of Ta2Pd, with properties calculated at the GGA-PBE level.

Output
SG: No. 129
DFT total energy, eV per atom: -9.893
Size of the total moment, μB/f.u.: 0.0
Formation energy from the elements, eV per atom: -0.26

POSCAR file:
```
Ta2Pd
1.0
3.306 0.000 0.000
0.000 3.306 0.000
0.000 0.000 9.461
Ta Pd
4 2
direct
0.250 0.250 0.085
0.250 0.250 0.735
0.750 0.750 0.265
0.750 0.750 0.915
0.250 0.250 0.414
0.750 0.750 0.586
```


(4)
Below is a relaxed structure of TaPd, with properties calculated at the GGA-PBE level.

Output
SG: No. 176
DFT total energy, eV per atom: -8.447
Size of the total moment, μB/f.u.: 0.0
Formation energy from the elements, eV per atom: 0.08

POSCAR file:
```
TaPd
1.0
9.452 0.000 0.000
-4.726 8.186 0.000
0.000 0.000 2.809
Ta Pd
6 6
direct
0.141 0.625 0.250
0.375 0.517 0.250
0.483 0.859 0.250
0.517 0.141 0.750
0.625 0.483 0.750
0.859 0.375 0.750
0.057 0.286 0.250
0.229 0.943 0.250
0.286 0.229 0.750
0.714 0.771 0.250
0.771 0.057 0.750
0.943 0.714 0.750
```


(5)
Below is a relaxed structure of TaPd, with properties calculated at the GGA-PBE level.

Output
SG: No. 136
DFT total energy, eV per atom: -8.202
Size of the total moment, μB/f.u.: 0.0
Formation energy from the elements, eV per atom: 0.32

POSCAR file:
```
TaPd
1.0
5.257 0.000 0.000
0.000 5.257 0.000
0.000 0.000 5.320
Ta Pd
4 4
direct
0.183 0.183 0.000
0.317 0.683 0.500
0.683 0.317 0.500
0.817 0.817 0.000
0.183 0.183 0.500
0.317 0.683 0.000
0.683 0.317 0.000
0.817 0.817 0.500
```


(6)
Below is a relaxed structure of TaPd, with properties calculated at the GGA-PBE level.

Output
SG: No. 123
DFT total energy, eV per atom: -7.882
Size of the total moment, μB/f.u.: 0.0
Formation energy from the elements, eV per atom: 0.64

POSCAR file:
```
TaPd
1.0
2.724 0.000 0.000
0.000 2.724 0.000
0.000 0.000 10.453
Ta Pd
2 2
direct
0.000 0.000 0.131
0.000 0.000 0.869
0.000 0.000 0.368
0.000 0.000 0.632
```


(7)
Below is a relaxed structure of TaPd, with properties calculated at the GGA-PBE level.

Output
SG: No. 194
DFT total energy, eV per atom: -7.763
Size of the total moment, μB/f.u.: 0.0
Formation energy from the elements, eV per atom: 0.76

POSCAR file:
```
TaPd
1.0
4.468 0.000 0.000
-2.234 3.869 0.000
0.000 0.000 5.192
Ta Pd
2 2
direct
0.333 0.667 0.250
0.667 0.333 0.750
0.333 0.667 0.750
0.667 0.333 0.250
```


(8)
Below is a relaxed structure of TaPd2, with properties calculated at the GGA-PBE level.

Output
SG: No. 71
DFT total energy, eV per atom: -7.870
Size of the total moment, μB/f.u.: 0.0
Formation energy from the elements, eV per atom: -0.46

POSCAR file:
```
TaPd2
1.0
-1.450 1.935 4.256
1.450 -1.935 4.256
1.450 1.935 -4.256
Ta Pd
1 2
direct
0.000 0.000 0.000
0.335 0.335 0.000
0.665 0.665 0.000
```